MnTlCd2: PBEsol geometry, meta-GGA SCAN.

Unit cell a=3.127 b=3.127 c=9.991 alpha=81.00 beta=81.00 gamma=60.00
Site moments in Bohr magnetons follow the coordinates.
Positions (direct):
Cd1 0.760 0.760 0.720  -0.04
Mn1 0.500 0.500 0.500  4.03
Tl1 0.000 0.000 0.000  -0.01
Cd2 0.240 0.240 0.280  -0.04

**Density**: 9.7 g cm⁻³
**DOS(E_F)**: 1.929 states/eV/f.u.
**E_form**: 0.110 eV per atom